A geometry-optimized NpPaCr2O8 structure, computed with PBE+U.

Summary:
* calculated volume: 293 Å³ per cell
* E_tot: -8.89 eV per atom
* DOS at the Fermi energy: 8.47 states/eV/f.u.

```
data_NpPaCr2O8
_chemical_formula_sum 'Np2 Pa2 Cr4 O16'
_space_group_name_H-M_alt 'I -4'
_space_group_IT_number 82
_cell_length_a 5.195
_cell_length_b 5.195
_cell_length_c 10.857
_cell_angle_alpha 90.00
_cell_angle_beta 90.00
_cell_angle_gamma 90.00
loop_
_space_group_symop_operation_xyz
'x,y,z'
'y,-x,-z'
'-x,-y,z'
'-y,x,-z'
'x+1/2,y+1/2,z+1/2'
'y+1/2,-x+1/2,-z+1/2'
'-x+1/2,-y+1/2,z+1/2'
'-y+1/2,x+1/2,-z+1/2'
loop_
_atom_site_label
_atom_site_type_symbol
_atom_site_fract_x
_atom_site_fract_y
_atom_site_fract_z
Np1 Np 0.000 0.000 0.000
Pa1 Pa 0.000 0.500 0.250
Cr1 Cr 0.000 0.000 0.500
Cr2 Cr 0.000 0.500 0.750
O1 O 0.181 0.758 0.836
O2 O 0.189 0.283 0.413
```